[1]
VASP calculation (PBEsol) on a geometry-optimized Nd6Ge3Se14 structure.

```
Nd6Ge3Se14
1.0
-2.936 -1.864 4.871
1.230 -9.996 -3.083
7.262 4.555 6.119
Nd Ge Se
6 3 14
Direct
0.756 0.104 0.795
0.756 0.691 0.896
0.756 0.205 0.309
0.251 0.562 0.537
0.251 0.975 0.438
0.251 0.463 0.025
0.174 0.000 0.000
0.667 0.667 0.333
0.517 0.333 0.667
0.563 0.000 0.000
0.057 0.667 0.333
0.012 0.236 0.084
0.012 0.848 0.764
0.012 0.916 0.152
0.507 0.431 0.249
0.507 0.818 0.569
0.507 0.751 0.182
0.273 0.170 0.762
0.273 0.591 0.830
0.273 0.238 0.409
0.764 0.500 0.574
0.764 0.074 0.500
0.764 0.426 0.926
```

Properties
Mass density (g cm⁻³): 6.32
Uncorrected formation energy (meV per atom): -1349
Magnetization (Bohr magnetons per cell): 0.00
Uncorrected energy (eV per atom): -5.685

[2]
VASP calculation (PBEsol) on a geometry-optimized Nd10Si3Ge3 structure.

```
Nd10Si3Ge3
1.0
6.573 0.000 0.000
0.000 8.709 0.000
0.000 -4.355 7.543
Nd Si Ge
10 3 3
Direct
0.246 0.333 0.667
0.246 0.667 0.333
0.754 0.667 0.333
0.754 0.333 0.667
0.500 0.248 0.000
0.500 0.752 0.752
0.500 0.000 0.248
0.000 0.754 0.000
0.000 0.246 0.246
0.000 0.000 0.754
0.000 0.393 0.000
0.000 0.607 0.607
0.000 0.000 0.393
0.500 0.608 0.000
0.500 0.392 0.392
0.500 0.000 0.608
```

Properties
Mass density (g cm⁻³): 6.71
Uncorrected formation energy (meV per atom): -655
Magnetization (Bohr magnetons per cell): 0.00
Uncorrected energy (eV per atom): -5.888

[3]
VASP calculation (PBEsol) on a geometry-optimized NdSiGe structure.

```
NdSiGe
1.0
4.080 0.000 0.000
0.000 4.088 0.000
-2.040 -2.044 7.593
Ge Nd Si
2 2 2
Direct
0.799 0.549 0.598
0.201 0.451 0.402
0.380 0.130 0.759
0.620 0.870 0.241
0.962 0.712 0.923
0.038 0.288 0.077
```

Properties
Mass density (g cm⁻³): 6.42
Uncorrected formation energy (meV per atom): -666
Magnetization (Bohr magnetons per cell): 0.00
Uncorrected energy (eV per atom): -5.950

[4]
VASP calculation (PBEsol) on a geometry-optimized NdVGe3 structure.

```
NdVGe3
1.0
-4.352 3.257 1.005
0.268 -1.489 5.989
3.156 4.870 -2.116
Nd V Ge
2 2 6
Direct
0.250 0.667 0.333
0.750 0.333 0.667
0.500 0.000 0.000
0.000 0.000 0.000
0.250 0.611 0.805
0.250 0.195 0.805
0.250 0.195 0.389
0.750 0.805 0.611
0.750 0.805 0.195
0.750 0.389 0.195
```

Properties
Mass density (g cm⁻³): 7.51
Magnetization (Bohr magnetons per cell): 0.00
Uncorrected energy (eV per atom): -6.498

[5]
VASP calculation (PBEsol) on a geometry-optimized Nd2Zn3Ge6 structure.

```
Nd2Zn3Ge6
1.0
5.850 0.000 0.000
0.000 5.853 0.000
0.000 2.926 12.224
Nd Zn Ge
4 6 12
Direct
0.750 0.895 0.210
0.250 0.394 0.212
0.750 0.606 0.788
0.250 0.105 0.790
0.750 0.159 0.682
0.000 0.733 0.000
0.500 0.733 0.000
0.500 0.267 0.000
0.250 0.841 0.318
0.000 0.267 0.000
0.250 0.942 0.115
0.467 0.918 0.599
0.750 0.058 0.885
0.750 0.430 0.140
0.967 0.082 0.401
0.467 0.483 0.599
0.033 0.483 0.599
0.533 0.082 0.401
0.033 0.918 0.599
0.967 0.517 0.401
0.250 0.570 0.860
0.533 0.517 0.401
```

Properties
Mass density (g cm⁻³): 7.30
Magnetization (Bohr magnetons per cell): 0.00
Uncorrected energy (eV per atom): -4.518

[6]
VASP calculation (PBEsol) on a geometry-optimized NdZnGe structure.

```
NdZnGe
1.0
-3.492 -2.184 0.721
3.689 -1.460 1.321
-1.009 4.006 7.243
Ge Nd Zn
2 2 2
Direct
0.667 0.333 0.250
0.333 0.667 0.750
0.000 0.000 0.500
0.000 0.000 0.000
0.667 0.333 0.750
0.333 0.667 0.250
```

Properties
Mass density (g cm⁻³): 7.42
Magnetization (Bohr magnetons per cell): 0.00
Uncorrected energy (eV per atom): -4.614

[7]
VASP calculation (PBEsol) on a geometry-optimized Ni5Ge3 structure.

```
Ni5Ge3
1.0
-2.804 -3.437 -4.432
-4.315 -4.099 2.036
-1.630 6.073 0.195
Ni Ge
10 6
Direct
0.149 0.180 0.329
0.351 0.329 0.180
0.851 0.820 0.671
0.649 0.671 0.820
0.500 0.500 0.000
0.000 0.000 0.500
0.586 0.913 0.260
0.914 0.260 0.913
0.414 0.087 0.740
0.086 0.740 0.087
0.750 0.106 0.106
0.250 0.894 0.894
0.453 0.714 0.416
0.047 0.416 0.714
0.547 0.286 0.584
0.953 0.584 0.286
```

Properties
Mass density (g cm⁻³): 8.88
Magnetization (Bohr magnetons per cell): 0.00
Uncorrected energy (eV per atom): -6.074

[8]
VASP calculation (PBEsol) on a geometry-optimized Ni3Ge structure.

```
Ni3Ge
1.0
-2.620 0.435 2.313
-0.301 -3.495 0.316
2.334 0.037 2.637
Ni Ge
3 1
Direct
0.500 0.000 0.500
0.000 0.500 0.500
0.500 0.500 0.000
0.000 0.000 0.000
```

Properties
Mass density (g cm⁻³): 9.45
Magnetization (Bohr magnetons per cell): 0.00
Uncorrected energy (eV per atom): -6.195

[9]
VASP calculation (PBEsol) on a geometry-optimized Ni2Ge structure.

```
Ni2Ge
1.0
-2.876 -0.106 -2.734
-0.785 -1.045 3.748
-1.195 4.744 1.072
Ni Ge
4 2
Direct
0.000 0.000 0.000
0.000 0.000 0.500
0.333 0.667 0.250
0.667 0.333 0.750
0.333 0.667 0.750
0.667 0.333 0.250
```

Properties
Mass density (g cm⁻³): 9.24
Magnetization (Bohr magnetons per cell): 0.00
Uncorrected energy (eV per atom): -6.085

[10]
VASP calculation (PBEsol) on a geometry-optimized Ni2Ge structure.

```
Ni2Ge
1.0
-0.125 3.397 1.681
-2.956 1.720 -3.694
-5.799 -2.040 3.692
Ni Ge
8 4
Direct
0.250 0.327 0.060
0.750 0.673 0.940
0.250 0.827 0.440
0.750 0.173 0.560
0.250 0.955 0.790
0.750 0.045 0.210
0.250 0.455 0.710
0.750 0.545 0.290
0.250 0.292 0.387
0.750 0.708 0.613
0.250 0.792 0.113
0.750 0.208 0.887
```

Properties
Mass density (g cm⁻³): 9.22
Magnetization (Bohr magnetons per cell): 0.00
Uncorrected energy (eV per atom): -6.113

[11]
VASP calculation (PBEsol) on a geometry-optimized Ni2GeO4 structure.

```
Ni2GeO4
1.0
5.791 0.000 0.000
2.895 5.015 0.000
2.895 1.672 4.728
Ni Ge O
4 2 8
Direct
0.625 0.125 0.125
0.125 0.125 0.125
0.125 0.625 0.125
0.125 0.125 0.625
0.500 0.500 0.500
0.750 0.750 0.750
0.877 0.877 0.370
0.373 0.880 0.373
0.880 0.373 0.373
0.373 0.373 0.373
0.370 0.877 0.877
0.877 0.877 0.877
0.373 0.373 0.880
0.877 0.370 0.877
```

Properties
Mass density (g cm⁻³): 6.14
Uncorrected formation energy (meV per atom): -1072
Magnetization (Bohr magnetons per cell): 8.09
Uncorrected energy (eV per atom): -6.537

[12]
VASP calculation (PBEsol) on a geometry-optimized TiNi4GeO8 structure.

```
TiNi4GeO8
1.0
5.814 0.000 0.000
2.907 5.035 0.000
2.907 1.678 4.747
Ti Ni Ge O
1 4 1 8
Direct
0.000 0.000 0.000
0.878 0.374 0.374
0.374 0.374 0.374
0.374 0.878 0.374
0.374 0.374 0.878
0.750 0.750 0.750
0.612 0.129 0.129
0.129 0.129 0.129
0.129 0.612 0.129
0.129 0.129 0.612
0.130 0.623 0.623
0.623 0.623 0.623
0.623 0.130 0.623
0.623 0.623 0.130
```

Properties
Mass density (g cm⁻³): 5.77
Uncorrected formation energy (meV per atom): -1349
Magnetization (Bohr magnetons per cell): 7.88
Uncorrected energy (eV per atom): -7.055